# 1
Tl2BiBO4: optimized geometry, PBE-GGA.

Structure (POSCAR):
```
Tl2BiBO4
1.0
-7.1719 -0.4399 -2.6138
2.6548 -7.0158 -1.4804
0.3072 1.6452 6.8822
B Tl O Bi
2 4 8 2
direct
0.5000 0.5000 0.5000 B
0.0000 0.0000 0.0000 B
0.0000 0.0000 0.5000 Tl
0.5000 0.0000 0.5000 Tl
0.5000 0.5000 0.0000 Tl
0.5000 0.0000 0.0000 Tl
0.0954 0.1300 0.9643 O
0.6300 0.5954 0.4643 O
0.9046 0.8700 0.0357 O
0.8307 0.2770 0.5841 O
0.2230 0.6693 0.9159 O
0.1693 0.7230 0.4159 O
0.7770 0.3307 0.0841 O
0.3700 0.4046 0.5357 O
0.0000 0.5000 0.5000 Bi
0.0000 0.5000 0.0000 Bi
```

As for the total energy: -0.4017 Ry/atom. The value obtained for the density of states at the Fermi level is 0.02 states/eV per atom. The space group is C2/c.

---

# 2
HoPuHg2O6: optimized geometry, PBE-GGA.

Structure (POSCAR):
```
HoPuHg2O6
1.0
5.8151 0.0001 0.0002
2.9076 5.0361 0.0000
2.9076 1.6788 5.1028
Ho O Hg Pu
1 6 2 1
direct
0.8162 0.8162 0.5515 Ho
0.9574 0.5548 0.2985 O
0.5548 0.1894 0.2984 O
0.1894 0.9573 0.2985 O
0.0775 0.4430 0.8046 O
0.4430 0.6750 0.8045 O
0.6750 0.0776 0.8045 O
0.5634 0.5634 0.3097 Hg
0.0688 0.0689 0.7934 Hg
0.3162 0.3162 0.0515 Pu
```

As for the total energy: -0.5041 Ry/atom. The value obtained for the density of states at the Fermi level is 0.88 states/eV per atom. The space group is R-3.

---

# 3
KRuPt2: optimized geometry, PBE-GGA.

Structure (POSCAR):
```
KRuPt2
1.0
-3.5090 0.2530 -2.8243
-2.5841 -2.3220 -2.8783
-4.8637 -1.8518 5.0035
Ru Pt K
1 2 1
direct
0.7500 0.7500 0.7500 Ru
0.4899 0.4899 0.5837 Pt
0.0101 0.0101 0.9163 Pt
0.2500 0.2500 0.2500 K
```

As for the total energy: -0.3856 Ry/atom. The value obtained for the density of states at the Fermi level is 1.36 states/eV per atom. The space group is C2/m. The calculation puts the energy of formation from the pure elements at 367 meV per atom. For the offset from the most stable computed form, the calculation gives 0.218 eV per atom.

---

# 4
La6GeSe5: optimized geometry, PBE-GGA.

Structure (POSCAR):
```
La6GeSe5
1.0
7.3861 -0.1153 -1.3911
-3.9910 6.2161 -1.3911
0.1479 0.2657 7.5205
La Se Ge
6 5 1
direct
0.9179 0.5899 0.7534 La
0.5899 0.9179 0.7534 La
0.4101 0.0821 0.2466 La
0.2462 0.2462 0.7537 La
0.7538 0.7538 0.2463 La
0.0821 0.4101 0.2466 La
0.5000 0.5000 0.5000 Se
0.1675 0.8325 0.5000 Se
0.3332 0.6668 0.0000 Se
0.6668 0.3332 0.0000 Se
0.8325 0.1675 0.5000 Se
0.0000 0.0000 0.0000 Ge
```

As for the total energy: -0.4521 Ry/atom. The value obtained for the density of states at the Fermi level is 0.58 states/eV per atom. The space group is C2/m.

---

# 5
DyAl2SiOs2: optimized geometry, PBE-GGA.

Structure (POSCAR):
```
DyAl2SiOs2
1.0
4.4482 0.0000 0.0000
0.0000 4.4482 0.0000
0.0000 0.0000 5.6054
Al Si Dy Os
2 1 1 2
direct
0.5000 0.5000 0.7348 Al
0.5000 0.5000 0.2652 Al
0.0000 0.0000 0.0000 Si
0.0000 0.0000 0.5000 Dy
0.5000 0.0000 0.0000 Os
0.0000 0.5000 0.0000 Os
```

As for the total energy: -0.5042 Ry/atom. The value obtained for the density of states at the Fermi level is 0.68 states/eV per atom. The space group is P4/mmm.

---

# 6
Li2PrCd4Ag: optimized geometry, PBE-GGA.

Structure (POSCAR):
```
Li2PrCd4Ag
1.0
-2.8291 3.0366 -2.2923
-4.4345 -1.2634 -1.1040
-5.3700 3.9142 6.9093
Cd Li Pr Ag
4 2 1 1
direct
0.3968 0.3968 0.8097 Cd
0.1261 0.1261 0.6218 Cd
0.8739 0.8739 0.3782 Cd
0.6032 0.6032 0.1903 Cd
0.7646 0.7646 0.7062 Li
0.2354 0.2354 0.2938 Li
0.0000 0.0000 0.0000 Pr
0.5000 0.5000 0.5000 Ag
```

As for the total energy: -0.1540 Ry/atom. The value obtained for the density of states at the Fermi level is 0.59 states/eV per atom. The space group is R-3m. The calculation puts the energy of formation from the pure elements at -205 meV per atom.

---

# 7
YZn2Hg: optimized geometry, PBE-GGA.

Structure (POSCAR):
```
YZn2Hg
1.0
-0.0210 1.7821 2.9955
-2.9871 -1.5578 0.8943
3.5587 -5.0761 3.0450
Y Zn Hg
1 2 1
direct
0.5000 0.5000 0.7500 Y
0.0000 0.0000 0.0211 Zn
0.0000 0.0000 0.4789 Zn
0.5000 0.5000 0.2500 Hg
```

As for the total energy: -0.1824 Ry/atom. The value obtained for the density of states at the Fermi level is 0.60 states/eV per atom. The space group is Cmmm. The calculation puts the energy of formation from the pure elements at -153 meV per atom.

---

# 8
CsCdSbAu: optimized geometry, PBE-GGA.

Structure (POSCAR):
```
CsCdSbAu
1.0
5.2274 0.0000 0.0000
0.0000 5.0230 0.0000
-2.6137 -2.5115 5.4999
Au Sb Cs Cd
1 1 1 1
direct
0.2241 0.7241 0.4482 Au
0.3124 0.3124 0.6249 Sb
0.9628 0.9628 0.9257 Cs
0.6160 0.6160 0.2319 Cd
```

As for the total energy: -0.1802 Ry/atom. The value obtained for the density of states at the Fermi level is 0.94 states/eV per atom. The space group is Imm2.

---

# 9
YMg2Cr: optimized geometry, PBE-GGA.

Structure (POSCAR):
```
YMg2Cr
1.0
-4.0617 1.0042 3.6907
-1.8319 -1.2309 5.1241
1.6418 3.8071 3.3825
Cr Y Mg
1 1 2
direct
0.7378 0.7378 0.7390 Cr
0.4867 0.4867 0.5379 Y
0.2619 0.2619 0.2084 Mg
0.0136 0.0136 0.0147 Mg
```

As for the total energy: -0.3323 Ry/atom. The value obtained for the density of states at the Fermi level is 0.87 states/eV per atom. The space group is Cm. The calculation puts the energy of formation from the pure elements at 298 meV per atom.

---

# 10
ZrGeBiO6: optimized geometry, PBE-GGA.

Structure (POSCAR):
```
ZrGeBiO6
1.0
4.8628 0.0000 0.0000
0.0000 4.8628 0.0000
0.0000 0.0000 9.8077
O Zr Bi Ge
12 2 2 2
direct
0.3268 0.3268 0.6785 O
0.6732 0.6732 0.6785 O
0.7825 0.2175 0.8456 O
0.7175 0.7175 0.3456 O
0.2825 0.2825 0.3456 O
0.8083 0.1917 0.4782 O
0.6917 0.6917 0.9782 O
0.8268 0.1732 0.1785 O
0.1732 0.8268 0.1785 O
0.1917 0.8083 0.4782 O
0.3083 0.3083 0.9782 O
0.2175 0.7825 0.8456 O
0.5000 0.5000 0.4945 Zr
0.0000 0.0000 0.9945 Zr
0.0000 0.0000 0.6655 Bi
0.5000 0.5000 0.1655 Bi
0.0000 0.0000 0.3356 Ge
0.5000 0.5000 0.8356 Ge
```

As for the total energy: -0.5212 Ry/atom. The value obtained for the density of states at the Fermi level is 0.30 states/eV per atom. The space group is P4_2nm.

---

# 11
MnZn2Se: optimized geometry, PBE-GGA.

Structure (POSCAR):
```
MnZn2Se
1.0
-3.1928 3.1861 -2.3062
-4.6508 -1.8708 -0.7305
3.1366 0.3108 3.9660
Zn Se Mn
2 1 1
direct
0.0001 0.0001 0.0000 Zn
0.2491 0.7491 0.5000 Zn
0.7513 0.2513 0.5000 Se
0.4996 0.4996 0.0000 Mn
```

As for the total energy: -0.2729 Ry/atom. The value obtained for the density of states at the Fermi level is 0.31 states/eV per atom. The space group is Imm2.

---

# 12
LiTaO3: optimized geometry, PBE-GGA.

Structure (POSCAR):
```
LiTaO3
1.0
3.9822 -0.0405 -0.0388
0.1424 3.9802 -0.0388
0.1425 0.1362 3.9782
Ta Li O
1 1 3
direct
0.5611 0.5611 0.5611 Ta
0.9570 0.9569 0.9569 Li
0.6024 0.6024 0.0842 O
0.6024 0.0842 0.6024 O
0.0842 0.6024 0.6024 O
```

As for the total energy: -0.6139 Ry/atom. The value obtained for the density of states at the Fermi level is 0.00 states/eV per atom. The space group is R3m.